1.
First-principles (PBE-GGA) data for crystalline HgAuO3 at its relaxed geometry, as listed in Alexandria.

Values from the calculation:
Electronic total energy = -17.42 eV/cell
E_form (uncorrected) = 100 kJ/mol of formula units
SG = Amm2
M_tot = 1.03 μB per formula unit

a = 3.1582 Å, b = 5.7347 Å, c = 6.4871 Å
α = 116.23°, β = 90.00°, γ = 90.00°
Last column: magnetic moment on the atom in μB.
Element x y z (fractional)
O1 0.0000 0.7862 0.5725  0.50
O2 0.5000 0.7841 0.1178  0.11
O3 0.5000 0.3337 0.1178  0.11
Hg1 0.5000 0.9100 0.8200  0.09
Au1 0.0000 0.5579 0.1159  0.10

2.
First-principles (PBE-GGA) data for crystalline Er4GeSb2As at its relaxed geometry, as listed in Alexandria.

Values from the calculation:
Electronic total energy = -44.38 eV/cell
E_form (uncorrected) = -832 kJ/mol of formula units
SG = P2/m
M_tot = 0.00 μB per formula unit

a = 4.1876 Å, b = 7.3028 Å, c = 7.3767 Å
α = 109.07°, β = 90.00°, γ = 90.00°
Element x y z (fractional)
Ge1 0.5000 0.5000 0.0000
Er1 0.0000 0.7441 0.2310
Er2 0.0000 0.2559 0.7690
Er3 0.5000 0.2436 0.2297
Er4 0.5000 0.7564 0.7703
As1 0.0000 0.0000 0.0000
Sb1 0.0000 0.5000 0.5000
Sb2 0.5000 0.0000 0.5000

3.
First-principles (PBE-GGA) data for crystalline Pr12Sm3Al at its relaxed geometry, as listed in Alexandria.

Values from the calculation:
Electronic total energy = -75.51 eV/cell
SG = P4/mmm
Calculated formation energy = -0.0160 eV/atom
M_tot = 0.00 μB per formula unit

a = 5.1233 Å, b = 5.1233 Å, c = 20.8598 Å
α = 90.00°, β = 90.00°, γ = 90.00°
Element x y z (fractional)
Pr1 0.0000 0.5000 0.3722
Pr2 0.5000 0.5000 0.2441
Pr3 0.5000 0.0000 0.6278
Pr4 0.5000 0.5000 0.5000
Pr5 0.0000 0.5000 0.8836
Pr6 0.5000 0.5000 0.0000
Pr7 0.5000 0.0000 0.1164
Pr8 0.0000 0.5000 0.1164
Pr9 0.5000 0.5000 0.7559
Pr10 0.5000 0.0000 0.8836
Pr11 0.5000 0.0000 0.3722
Pr12 0.0000 0.5000 0.6278
Al1 0.0000 0.0000 0.0000
Sm1 0.0000 0.0000 0.5000
Sm2 0.0000 0.0000 0.2455
Sm3 0.0000 0.0000 0.7545

4.
First-principles (PBE-GGA) data for crystalline YThSi4 at its relaxed geometry, as listed in Alexandria.

Values from the calculation:
Electronic total energy = -156.18 eV/cell
E_form (uncorrected) = -335 kJ/mol of formula units
SG = Pbam
M_tot = 0.00 μB per formula unit

a = 4.0614 Å, b = 7.0406 Å, c = 16.7051 Å
α = 90.00°, β = 90.00°, γ = 90.00°
Element x y z (fractional)
Th1 0.0000 0.2505 0.6863
Th2 0.0000 0.2495 0.1863
Th3 0.0000 0.7505 0.8137
Th4 0.0000 0.7495 0.3137
Si1 0.5000 0.0808 0.0617
Si2 0.5000 0.4192 0.5617
Si3 0.5000 0.9165 0.1867
Si4 0.5000 0.0825 0.3133
Si5 0.5000 0.4175 0.8133
Si6 0.5000 0.5808 0.4383
Si7 0.5000 0.5825 0.1867
Si8 0.5000 0.9188 0.4384
Si9 0.5000 0.4165 0.3133
Si10 0.5000 0.9175 0.6867
Si11 0.5000 0.5835 0.6867
Si12 0.5000 0.5812 0.9384
Si13 0.5000 0.0812 0.5616
Si14 0.5000 0.4188 0.0616
Si15 0.5000 0.0835 0.8133
Si16 0.5000 0.9192 0.9383
Y1 0.0000 0.7502 0.5611
Y2 0.0000 0.7498 0.0611
Y3 0.0000 0.2498 0.4389
Y4 0.0000 0.2502 0.9389

5.
First-principles (PBE-GGA) data for crystalline ZrTe2Se at its relaxed geometry, as listed in Alexandria.

Values from the calculation:
Electronic total energy = -19.01 eV/cell
E_form (uncorrected) = -67 kJ/mol of formula units
SG = F-43m
M_tot = 0.00 μB per formula unit

a = 5.1309 Å, b = 5.1309 Å, c = 5.1309 Å
α = 60.00°, β = 60.00°, γ = 60.00°
Element x y z (fractional)
Te1 0.7500 0.7500 0.7500
Te2 0.0000 0.0000 0.0000
Zr1 0.2500 0.2500 0.2500
Se1 0.5000 0.5000 0.5000

6.
First-principles (PBE-GGA) data for crystalline Pr3Dy6TmTh2 at its relaxed geometry, as listed in Alexandria.

Values from the calculation:
Electronic total energy = -61.04 eV/cell
SG = C2/m
Calculated formation energy = 0.0187 eV/atom
M_tot = 0.00 μB per formula unit

a = 6.2147 Å, b = 6.2147 Å, c = 11.8424 Å
α = 95.02°, β = 95.02°, γ = 119.96°
Element x y z (fractional)
Dy1 0.2557 0.2557 0.7560
Dy2 0.9189 0.5821 0.7564
Dy3 0.0811 0.4179 0.2436
Dy4 0.4179 0.0811 0.2436
Dy5 0.5821 0.9189 0.7564
Dy6 0.7443 0.7443 0.2440
Pr1 0.8335 0.1665 0.5000
Pr2 0.1665 0.8335 0.5000
Pr3 0.5000 0.5000 0.5000
Tm1 0.0000 0.0000 0.0000
Th1 0.6665 0.3335 0.0000
Th2 0.3335 0.6665 0.0000

7.
First-principles (PBE-GGA) data for crystalline SrEuIn at its relaxed geometry, as listed in Alexandria.

Values from the calculation:
Electronic total energy = -14.37 eV/cell
SG = I4mm
Calculated formation energy = 0.1089 eV/atom
M_tot = 7.25 μB per formula unit

a = 3.7465 Å, b = 3.7465 Å, c = 9.5020 Å
α = 101.37°, β = 101.37°, γ = 90.00°
Last column: magnetic moment on the atom in μB.
Element x y z (fractional)
Eu1 0.7521 0.7521 0.5042  -6.95
In1 0.1391 0.1391 0.2781  -0.01
Sr1 0.9588 0.9588 0.9177  0.01

8.
First-principles (PBE-GGA) data for crystalline TbNd6Y2 at its relaxed geometry, as listed in Alexandria.

Values from the calculation:
Electronic total energy = -88.99 eV/cell
SG = C2/c
Calculated formation energy = 0.1855 eV/atom
M_tot = 0.00 μB per formula unit

a = 9.1247 Å, b = 12.9108 Å, c = 12.9108 Å
α = 41.14°, β = 43.62°, γ = 43.62°
Element x y z (fractional)
Nd1 0.2422 0.7756 0.0885
Nd2 0.2578 0.9115 0.2244
Nd3 0.6464 0.4005 0.3769
Nd4 0.2967 0.9807 0.6964
Nd5 0.2033 0.3036 0.0193
Nd6 0.7578 0.2244 0.9115
Nd7 0.3536 0.5995 0.6231
Nd8 0.7967 0.6964 0.9807
Nd9 0.1464 0.3769 0.4005
Nd10 0.8536 0.6231 0.5995
Nd11 0.7422 0.0885 0.7756
Nd12 0.7033 0.0193 0.3036
Y1 0.7832 0.9559 0.5821
Y2 0.7168 0.4179 0.0441
Y3 0.2832 0.5821 0.9559
Y4 0.2168 0.0441 0.4179
Tb1 0.2500 0.2074 0.7926
Tb2 0.7500 0.7926 0.2074

9.
First-principles (PBE-GGA) data for crystalline Be2AgCl at its relaxed geometry, as listed in Alexandria.

Values from the calculation:
Electronic total energy = -8.08 eV/cell
E_form (uncorrected) = 393 kJ/mol of formula units
SG = F-43m
M_tot = 0.00 μB per formula unit

a = 4.5536 Å, b = 4.5536 Å, c = 4.5536 Å
α = 60.00°, β = 60.00°, γ = 60.00°
Element x y z (fractional)
Be1 0.2500 0.2500 0.2500
Be2 0.0000 0.0000 0.0000
Cl1 0.7500 0.7500 0.7500
Ag1 0.5000 0.5000 0.5000

10.
First-principles (PBE-GGA) data for crystalline Li3TaRh at its relaxed geometry, as listed in Alexandria.

Values from the calculation:
Electronic total energy = -20.22 eV/cell
SG = Pm-3m
Calculated formation energy = 0.9457 eV/atom
M_tot = 0.00 μB per formula unit

a = 4.2704 Å, b = 4.2704 Å, c = 4.2704 Å
α = 90.00°, β = 90.00°, γ = 90.00°
Element x y z (fractional)
Li1 0.0000 0.5000 0.0000
Li2 0.5000 0.0000 0.0000
Li3 0.0000 0.0000 0.5000
Ta1 0.5000 0.5000 0.5000
Rh1 0.0000 0.0000 0.0000

11.
First-principles (PBE-GGA) data for crystalline La8Si3SbI4 at its relaxed geometry, as listed in Alexandria.

Values from the calculation:
Electronic total energy = -83.11 eV/cell
E_form (uncorrected) = -1650 kJ/mol of formula units
SG = R-3m
M_tot = 0.00 μB per formula unit

a = 8.9693 Å, b = 9.3585 Å, c = 8.9682 Å
α = 118.62°, β = 120.00°, γ = 90.00°
Element x y z (fractional)
La1 0.7567 0.2952 0.0386
La2 0.2433 0.7048 0.9614
La3 0.2819 0.2952 0.0386
La4 0.2433 0.7050 0.4865
La5 0.7330 0.6990 0.4660
La6 0.2670 0.3010 0.5340
La7 0.7181 0.7048 0.9614
La8 0.7567 0.2950 0.5135
I1 0.5000 0.0000 0.5000
I2 0.0000 0.0000 0.0000
I3 0.0000 0.0000 0.5000
I4 0.5000 0.0000 0.0000
Si1 0.0000 0.5000 0.5000
Si2 0.5000 0.5000 0.0000
Si3 0.5000 0.5000 0.5000
Sb1 0.0000 0.5000 0.0000

12.
First-principles (PBE-GGA) data for crystalline TaHgBr2 at its relaxed geometry, as listed in Alexandria.

Values from the calculation:
Electronic total energy = -14.84 eV/cell
E_form (uncorrected) = 64 kJ/mol of formula units
SG = P4mm
M_tot = 1.03 μB per formula unit

a = 3.3046 Å, b = 3.3046 Å, c = 8.4943 Å
α = 90.00°, β = 90.00°, γ = 90.00°
Last column: magnetic moment on the atom in μB.
Element x y z (fractional)
Br1 0.0000 0.0000 0.9343  -0.01
Br2 0.5000 0.5000 0.2890  0.09
Hg1 0.0000 0.0000 0.5242  0.03
Ta1 0.5000 0.5000 0.7525  0.60

13.
First-principles (PBE-GGA) data for crystalline Sr4AsPtO at its relaxed geometry, as listed in Alexandria.

Values from the calculation:
Electronic total energy = -32.11 eV/cell
E_form (uncorrected) = -940 kJ/mol of formula units
SG = I4mm
M_tot = 0.00 μB per formula unit

a = 4.8947 Å, b = 4.8947 Å, c = 8.7852 Å
α = 106.18°, β = 106.18°, γ = 90.00°
Element x y z (fractional)
Sr1 0.1737 0.1737 0.3474
Sr2 0.8223 0.8223 0.6445
Sr3 0.9982 0.4982 0.9965
Sr4 0.4982 0.9982 0.9965
O1 0.0112 0.0112 0.0224
Pt1 0.3645 0.3645 0.7291
As1 0.6319 0.6319 0.2637

14.
First-principles (PBE-GGA) data for crystalline SmGdLuZr at its relaxed geometry, as listed in Alexandria.

Values from the calculation:
Electronic total energy = -31.06 eV/cell
SG = F-43m
Calculated formation energy = 0.2033 eV/atom
M_tot = 9.26 μB per formula unit

a = 5.4970 Å, b = 5.4970 Å, c = 5.4970 Å
α = 60.00°, β = 60.00°, γ = 60.00°
Last column: magnetic moment on the atom in μB.
Element x y z (fractional)
Sm1 0.7500 0.7500 0.7500  0.06
Gd1 0.0000 0.0000 0.0000  7.36
Lu1 0.5000 0.5000 0.5000  0.18
Zr1 0.2500 0.2500 0.2500  0.71

15.
First-principles (PBE-GGA) data for crystalline KMn2Zn at its relaxed geometry, as listed in Alexandria.

Values from the calculation:
Electronic total energy = -17.04 eV/cell
SG = C2/m
Calculated formation energy = 0.9185 eV/atom
M_tot = 7.93 μB per formula unit

a = 6.2158 Å, b = 6.2158 Å, c = 2.8640 Å
α = 77.22°, β = 77.22°, γ = 121.53°
Last column: magnetic moment on the atom in μB.
Element x y z (fractional)
Mn1 0.0000 0.0000 0.0000  3.81
Mn2 0.5000 0.5000 0.0000  3.81
K1 0.0000 0.5000 0.5000  -0.01
Zn1 0.5000 0.0000 0.5000  -0.02